This record from OQMD describes crystalline Na2LiCuF6 at its relaxed geometry. The functional is PBE-GGA.

Results
* raw total energy: -4.14 eV per atom
* polymorph energy (0 for the lowest one): 0.011 eV/atom

a = 5.2054 Å, b = 5.2054 Å, c = 7.6296 Å
α = 90.00°, β = 90.00°, γ = 90.00°
Space group I4/m (No. 87)
Asymmetric unit:
Na (0.0000, 0.5000, 0.2500) x4
Li (0.0000, 0.0000, 0.0000) x2
Cu (0.0000, 0.0000, 0.5000) x2
F (0.0000, 0.0000, 0.2510) x4
F (0.1825, 0.6854, 0.5000) x8

=====

This record from OQMD describes crystalline ZrGaNO at its relaxed geometry. The functional is PBE-GGA.

Results
* total magnetization: 0.0 μB/cell
* raw total energy: -7.42 eV per atom
* polymorph energy (0 for the lowest one): 0.202 eV/atom

a = 5.6902 Å, b = 7.3358 Å, c = 4.9740 Å
α = 90.00°, β = 90.00°, γ = 90.00°
Space group Pca2_1 (No. 29)
Asymmetric unit:
Zr (0.0494, 0.1086, 0.0000) x4
Ga (0.0950, 0.5986, 0.9387) x4
N (0.0838, 0.6105, 0.5525) x4
O (0.0867, 0.1868, 0.5372) x4

=====

This record from OQMD describes crystalline BaMg2GePt at its relaxed geometry. The functional is PBE-GGA.

Results
* total magnetization: 0.0 μB/cell
* raw total energy: -3.76 eV per atom

a = 4.5912 Å, b = 4.5912 Å, c = 11.4620 Å
α = 90.00°, β = 90.00°, γ = 90.00°
Space group I4mm (No. 107)
Asymmetric unit:
Ba (0.0000, 0.0000, 0.0000) x2
Mg (0.0000, 0.5000, 0.2518) x4
Ge (0.0000, 0.0000, 0.3910) x2
Pt (0.0000, 0.0000, 0.6159) x2

=====

This record from OQMD describes crystalline MgCoTe at its relaxed geometry. The functional is PBE-GGA.

Results
* total magnetization: 0.1 μB/cell
* raw total energy: -4.17 eV per atom
* polymorph energy (0 for the lowest one): 0.000 eV/atom

a = 6.0252 Å, b = 6.0252 Å, c = 6.0252 Å
α = 90.00°, β = 90.00°, γ = 90.00°
Space group F-43m (No. 216)
Asymmetric unit:
Mg (0.0000, 0.0000, 0.0000) x4
Co (0.2500, 0.2500, 0.2500) x4
Te (0.0000, 0.0000, 0.5000) x4

=====

This record from OQMD describes crystalline Tm2MgReO6 at its relaxed geometry. The functional is PBE-GGA.

Results
* total magnetization: 11.4 μB/cell
* raw total energy: -7.54 eV per atom

a = 7.7214 Å, b = 7.7214 Å, c = 7.7214 Å
α = 90.00°, β = 90.00°, γ = 90.00°
Space group Fm-3m (No. 225)
Asymmetric unit:
Tm (0.2500, 0.2500, 0.2500) x8
Mg (0.0000, 0.0000, 0.0000) x4
Re (0.0000, 0.0000, 0.5000) x4
O (0.0000, 0.0000, 0.2472) x24

=====

This record from OQMD describes crystalline Rb2CuSbCl6 at its relaxed geometry. The functional is PBE-GGA.

Results
* raw total energy: -3.31 eV per atom
* polymorph energy (0 for the lowest one): 0.002 eV/atom

a = 12.6339 Å, b = 7.2966 Å, c = 7.2947 Å
α = 90.00°, β = 125.25°, γ = 90.00°
Space group C2/m (No. 12)
Asymmetric unit:
Rb (0.2499, 0.0000, 0.2500) x4
Cu (0.0000, 0.0000, 0.5000) x2
Sb (0.0000, 0.5000, 0.0000) x2
Cl (0.0006, 0.2419, 0.7424) x8
Cl (0.2418, 0.0000, 0.7409) x4